Record 1
PmTl2Pd | PBE | relaxed

Unit cell a=4.8799 b=4.8799 c=8.9981 alpha=105.73 beta=105.73 gamma=90.00
With the nearest neighbours (Å) after each atom.
Fractional coordinates of all 8 atoms:
Pm  0.1406  0.1406  0.2812  4 Pd 3.04, 4 Tl 3.38
Pm  0.8594  0.8594  0.7188  4 Pd 3.04, 4 Tl 3.38
Tl  0.0000  0.5000  0.0000  4 Pm 3.38, 8 Tl 3.45-3.51
Tl  0.5000  0.0000  0.0000  4 Pm 3.38, 8 Tl 3.45-3.51
Tl  0.3481  0.3481  0.6963  4 Pd 2.93
Tl  0.6519  0.6519  0.3037  4 Pd 2.93
Pd  0.2500  0.7500  0.5000  4 Tl 2.93, 4 Pm 3.04
Pd  0.7500  0.2500  0.5000  4 Tl 2.93, 4 Pm 3.04

Output
calculated formation energy = -43.0 kJ per mole of atoms
total moment = 0.00 μB/cell
theoretical density = 11.079 g/cm³

=====

Record 2
Pm2Tl3Pd2 | PBE | relaxed

Unit cell a=3.7570 b=4.5432 c=10.7242 alpha=102.23 beta=90.00 gamma=90.00
With the nearest neighbours (Å) after each atom.
Fractional coordinates of all 7 atoms:
Pm  0.0000  0.8278  0.6555  6 Pd 3.06-3.08
Pm  0.0000  0.1722  0.3445  6 Pd 3.06-3.08
Tl  0.5000  0.5761  0.1522  1 Pd 2.83
Tl  0.5000  0.4239  0.8478  1 Pd 2.83
Tl  0.0000  0.0000  0.0000  8 Tl 3.35, 2 Pm 3.61
Pd  0.5000  0.7112  0.4224  2 Pd 2.79, 1 Tl 2.83, 6 Pm 3.06-3.08
Pd  0.5000  0.2888  0.5776  2 Pd 2.79, 1 Tl 2.83, 6 Pm 3.06-3.08

Output
calculated formation energy = -49.3 kJ per mole of atoms
total moment = 0.00 μB/cell
theoretical density = 10.359 g/cm³

=====

Record 3
Pm2Tl2Pd3 | PBE | relaxed

Unit cell a=7.6128 b=7.6128 c=7.6128 alpha=109.47 beta=109.47 gamma=109.47
With the nearest neighbours (Å) after each atom.
Fractional coordinates of all 14 atoms:
Pm  0.0000  0.0000  0.4814  6 Pd 2.91-3.19, 1 Tl 3.08
Pm  0.5000  0.4814  0.5000  6 Pd 2.91-3.19, 1 Tl 3.08
Pm  0.5186  0.0186  0.0186  6 Pd 2.91-3.19, 1 Tl 3.08
Pm  0.9814  0.5000  0.0000  6 Pd 2.91-3.19, 1 Tl 3.08
Tl  0.0000  0.0000  0.8865  3 Pd 2.81, 1 Pm 3.08
Tl  0.5000  0.8865  0.5000  3 Pd 2.81, 1 Pm 3.08
Tl  0.1135  0.6135  0.6135  3 Pd 2.81, 1 Pm 3.08
Tl  0.3865  0.5000  0.0000  3 Pd 2.81, 1 Pm 3.08
Pd  0.7638  0.7500  0.0138  2 Tl 2.81, 2 Pm 2.91, 4 Pd 3.03
Pd  0.7362  0.2500  0.4862  2 Tl 2.81, 2 Pm 2.91, 4 Pd 3.03
Pd  0.9862  0.2362  0.2500  2 Tl 2.81, 2 Pm 2.91, 4 Pd 3.03
Pd  0.5138  0.2638  0.7500  2 Tl 2.81, 2 Pm 2.91, 4 Pd 3.03
Pd  0.2500  0.0138  0.2638  2 Tl 2.81, 2 Pm 2.91, 4 Pd 3.03
Pd  0.7500  0.4862  0.2362  2 Tl 2.81, 2 Pm 2.91, 4 Pd 3.03

Output
calculated formation energy = -48.5 kJ per mole of atoms
total moment = 0.00 μB/cell
theoretical density = 9.955 g/cm³

=====

Record 4
Pm2Tl3Pd8 | PBE | relaxed

Unit cell a=5.6954 b=7.3305 c=8.0080 alpha=117.24 beta=104.67 gamma=90.00
With the nearest neighbours (Å) after each atom.
Fractional coordinates of all 13 atoms:
Pm  0.2697  0.3268  0.6536  5 Pd 2.73-2.97
Pm  0.7303  0.6732  0.3464  5 Pd 2.73-2.97
Tl  0.5000  0.0000  0.0000  6 Pd 2.71-2.73
Tl  0.0000  0.2716  0.0000  6 Pd 2.83-3.08
Tl  0.0000  0.7284  0.0000  6 Pd 2.83-3.08
Pd  0.2183  0.6859  0.3718  5 Pd 2.69-2.92, 2 Pm 2.73-2.97
Pd  0.7817  0.3141  0.6282  5 Pd 2.69-2.92, 2 Pm 2.73-2.97
Pd  0.9324  0.1426  0.2852  3 Tl 2.71-2.95, 1 Pm 2.78, 1 Pd 2.81
Pd  0.0676  0.8574  0.7148  3 Tl 2.71-2.95, 1 Pm 2.78, 1 Pd 2.81
Pd  0.5799  0.6626  0.6899  4 Pd 2.67-2.92, 2 Tl 2.73-2.83, 1 Pm 2.89
Pd  0.5799  0.0273  0.6899  4 Pd 2.67-2.92, 2 Tl 2.73-2.83, 1 Pm 2.89
Pd  0.4201  0.9727  0.3101  4 Pd 2.67-2.92, 2 Tl 2.73-2.83, 1 Pm 2.89
Pd  0.4201  0.3374  0.3101  4 Pd 2.67-2.92, 2 Tl 2.73-2.83, 1 Pm 2.89

Output
calculated formation energy = -29.1 kJ per mole of atoms
total moment = 0.00 μB/cell
theoretical density = 10.224 g/cm³

=====

Record 5
Pm2Tl8Pd | PBE | relaxed

Unit cell a=4.8340 b=4.8340 c=12.7330 alpha=90.00 beta=90.00 gamma=90.00
With the nearest neighbours (Å) after each atom.
Fractional coordinates of all 11 atoms:
Pm  0.0000  0.0000  0.3058  12 Tl 3.34-3.46
Pm  0.0000  0.0000  0.6942  12 Tl 3.34-3.46
Tl  0.0000  0.5000  0.5000  8 Tl 3.39-3.42, 4 Pm 3.46
Tl  0.5000  0.0000  0.5000  8 Tl 3.39-3.42, 4 Pm 3.46
Tl  0.5000  0.5000  0.3138  8 Tl 3.39-3.41, 4 Pm 3.42
Tl  0.5000  0.5000  0.6862  8 Tl 3.39-3.41, 4 Pm 3.42
Tl  0.0000  0.5000  0.1245  2 Pd 2.89, 1 Tl 3.17
Tl  0.5000  0.0000  0.1245  2 Pd 2.89, 1 Tl 3.17
Tl  0.0000  0.5000  0.8755  2 Pd 2.89, 1 Tl 3.17
Tl  0.5000  0.0000  0.8755  2 Pd 2.89, 1 Tl 3.17
Pd  0.0000  0.0000  0.0000  8 Tl 2.89

Output
calculated formation energy = -23.8 kJ per mole of atoms
total moment = 0.00 μB/cell
theoretical density = 11.337 g/cm³

=====

Record 6
Pm7TlPd4 | PBE | relaxed

Unit cell a=5.8137 b=8.7797 c=7.4480 alpha=74.37 beta=67.03 gamma=70.67
With the nearest neighbours (Å) after each atom.
Fractional coordinates of all 12 atoms:
Pm  0.8015  0.8913  0.5057  3 Pm 3.15-3.41, 4 Pd 3.20-3.35, 1 Tl 3.44
Pm  0.1985  0.1087  0.4943  3 Pm 3.15-3.41, 4 Pd 3.20-3.35, 1 Tl 3.44
Pm  0.0732  0.6192  0.2344  1 Pd 2.78
Pm  0.9268  0.3808  0.7656  1 Pd 2.78
Pm  0.3149  0.6346  0.7357  1 Pd 2.72
Pm  0.5000  0.0000  0.0000  4 Pd 2.83-2.90, 2 Tl 2.91
Pm  0.6851  0.3654  0.2643  1 Pd 2.72
Tl  0.0000  0.0000  0.0000  2 Pm 2.91
Pd  0.5534  0.2381  0.6550  2 Pm 2.72-2.83
Pd  0.4466  0.7619  0.3450  2 Pm 2.72-2.83
Pd  0.7005  0.6629  0.9360  3 Pm 2.78-3.06, 1 Pd 3.05
Pd  0.2995  0.3371  0.0640  3 Pm 2.78-3.06, 1 Pd 3.05

Output
calculated formation energy = -37.9 kJ per mole of atoms
total moment = 0.00 μB/cell
theoretical density = 8.381 g/cm³